one.
VASP calculation (GGA-PBE) on an optimized crystal structure of Y2Sn2H.

V: 22.99 Å³/atom

```
Y2Sn2H
1.0
6.1668 0.0000 0.0000
0.0000 6.1240 0.7003
-3.0834 -2.3016 5.8257
Sn H Y
4 2 4
Direct
0.8327 0.6884 0.6653 Sn
0.6571 0.9058 0.3141 Sn
0.3429 0.0942 0.6859 Sn
0.1673 0.3116 0.3347 Sn
0.7619 0.5000 0.0000 H
0.2381 0.5000 0.0000 H
0.9068 0.2231 0.8136 Y
0.0932 0.7769 0.1864 Y
0.4040 0.6488 0.8081 Y
0.5960 0.3512 0.1919 Y
```

***

two.
VASP calculation (GGA-PBE) on an optimized crystal structure of Y2Sn2H.

V: 27.93 Å³/atom

```
Y2Sn2H
1.0
-4.7214 -3.9534 -0.0605
3.5187 -4.2443 2.7439
-1.6794 -2.8617 4.6378
Sn Y H
2 2 1
Direct
0.7152 0.7152 0.5696 Sn
0.2848 0.2848 0.4304 Sn
0.7500 0.2500 0.5000 Y
0.2500 0.7500 0.5000 Y
0.0000 0.0000 0.0000 H
```

***

Stability order, top to bottom: one, two

***

one.
VASP calculation (GGA-PBE) on an optimized crystal structure of YSnH.

V: 19.47 Å³/atom

```
YSnH
1.0
-3.6765 -0.1986 -3.5320
-2.5155 -0.0978 2.6239
1.1107 3.1945 -1.3357
Y Sn H
1 1 1
Direct
0.1670 0.0000 0.0000 Y
0.6670 0.6667 0.3333 Sn
0.1660 0.3333 0.6667 H
```

***

two.
VASP calculation (GGA-PBE) on an optimized crystal structure of YSnH.

V: 20.88 Å³/atom

```
YSnH
1.0
5.9961 0.0000 0.0000
0.0000 3.5619 0.0000
0.0000 0.0000 11.7334
Sn Y H
4 4 4
Direct
0.1992 0.2500 0.3136 Sn
0.8008 0.7500 0.6864 Sn
0.3008 0.7500 0.8136 Sn
0.6992 0.2500 0.1864 Sn
0.7324 0.2500 0.4524 Y
0.2324 0.2500 0.0476 Y
0.7676 0.7500 0.9524 Y
0.2676 0.7500 0.5476 Y
0.0440 0.7500 0.0672 H
0.4560 0.2500 0.5672 H
0.5440 0.7500 0.4328 H
0.9560 0.2500 0.9328 H
```

***

Stability order, top to bottom: one, two

***

one.
VASP calculation (GGA-PBE) on an optimized crystal structure of YSnH.

V: 19.70 Å³/atom

```
YSnH
1.0
10.2155 0.0000 0.0000
0.0000 3.6120 0.0000
0.0000 0.0000 6.4064
Sn H Y
4 4 4
Direct
0.2641 0.2500 0.4252 Sn
0.2359 0.7500 0.9252 Sn
0.7359 0.7500 0.5748 Sn
0.7641 0.2500 0.0748 Sn
0.0448 0.7500 0.5895 H
0.9552 0.2500 0.4105 H
0.5448 0.7500 0.9105 H
0.4552 0.2500 0.0895 H
0.4929 0.2500 0.7671 Y
0.0071 0.7500 0.2671 Y
0.9929 0.2500 0.7329 Y
0.5071 0.7500 0.2329 Y
```

***

two.
VASP calculation (GGA-PBE) on an optimized crystal structure of YSnH.

V: 19.84 Å³/atom

```
YSnH
1.0
-1.5040 3.3061 -0.0217
-5.9965 -0.7442 -1.7516
-4.5380 -0.0401 4.4193
Y H Sn
2 2 2
Direct
0.2926 0.6803 0.7346 Y
0.7074 0.3197 0.2654 Y
0.7132 0.6503 0.9234 H
0.2868 0.3497 0.0766 H
0.0191 0.2135 0.7483 Sn
0.9809 0.7865 0.2517 Sn
```

***

Stability order, top to bottom: two, one

***

one.
VASP calculation (GGA-PBE) on an optimized crystal structure of YSnH.

V: 19.33 Å³/atom

```
YSnH
1.0
-2.7818 -1.4983 -1.9756
3.1670 -0.4010 -4.1325
0.3512 -6.2004 0.6828
Sn Y H
2 2 2
Direct
0.0800 0.8084 0.3349 Sn
0.9200 0.1916 0.6651 Sn
0.3535 0.6880 0.7960 Y
0.6465 0.3120 0.2040 Y
0.7673 0.6302 0.9673 H
0.2327 0.3698 0.0327 H
```

***

two.
VASP calculation (GGA-PBE) on an optimized crystal structure of YSnH.

V: 22.70 Å³/atom

```
YSnH
1.0
4.6215 0.0000 0.0000
0.0000 7.6234 0.0000
0.0000 0.0000 7.7308
Y Sn H
4 4 4
Direct
0.5000 0.5000 0.5000 Y
0.0000 0.0000 0.0000 Y
0.5000 0.0000 0.5000 Y
0.0000 0.5000 0.0000 Y
0.0006 0.7500 0.6311 Sn
0.9994 0.2500 0.3689 Sn
0.5006 0.7500 0.8689 Sn
0.4994 0.2500 0.1311 Sn
0.0079 0.7500 0.1305 H
0.9921 0.2500 0.8695 H
0.5079 0.7500 0.3695 H
0.4921 0.2500 0.6305 H
```

***

Stability order, top to bottom: one, two

***

one.
VASP calculation (GGA-PBE) on an optimized crystal structure of YSn2H.

V: 23.55 Å³/atom

```
YSn2H
1.0
3.8624 -2.8432 1.7562
-0.8213 -4.8465 1.3869
1.8570 -3.8183 -2.8388
H Sn Y
1 2 1
Direct
0.0000 0.0000 0.0000 H
0.7500 0.7500 0.7500 Sn
0.2500 0.2500 0.2500 Sn
0.5000 0.5000 0.5000 Y
```

***

two.
VASP calculation (GGA-PBE) on an optimized crystal structure of YSn2H.

V: 24.06 Å³/atom

```
YSn2H
1.0
-5.0457 -0.2787 -2.8179
-2.5283 -2.1493 4.7397
-5.0539 4.1160 2.7021
Sn H Y
4 2 2
Direct
0.8750 0.6741 0.7500 Sn
0.3259 0.6250 0.2500 Sn
0.3750 0.5759 0.7500 Sn
0.4241 0.1250 0.2500 Sn
0.5000 0.5000 0.0000 H
0.2500 0.7500 0.5000 H
0.7500 0.2500 0.5000 Y
0.0000 0.0000 0.0000 Y
```

***

Stability order, top to bottom: two, one

***

one.
VASP calculation (GGA-PBE) on an optimized crystal structure of ZnSnH2.

V: 14.19 Å³/atom

```
ZnSnH2
1.0
5.3007 0.0000 0.0000
0.0000 5.3007 0.0000
2.6503 2.6503 4.0416
H Zn Sn
4 2 2
Direct
0.3192 0.1250 0.2500 H
0.4308 0.6250 0.2500 H
0.8750 0.5692 0.7500 H
0.3750 0.6808 0.7500 H
0.5000 0.5000 0.0000 Zn
0.2500 0.7500 0.5000 Zn
0.0000 0.0000 0.0000 Sn
0.7500 0.2500 0.5000 Sn
```

***

two.
VASP calculation (GGA-PBE) on an optimized crystal structure of ZnSnH2.

V: 12.71 Å³/atom

```
ZnSnH2
1.0
0.0000 2.9400 2.9400
2.9400 0.0000 2.9400
2.9400 2.9400 0.0000
H Sn Zn
2 1 1
Direct
0.7500 0.7500 0.7500 H
0.2500 0.2500 0.2500 H
0.5000 0.5000 0.5000 Sn
0.0000 0.0000 0.0000 Zn
```

***

Stability order, top to bottom: one, two